Material: Pm3Al7Au4
Method: DFT, PBE
State: optimized geometry

Results
DFT total energy (eV per formula unit): -63.08
ΔE_f (meV per atom): -680
SG: C2/m (12)

Cell and atoms, written as POSCAR:
```
Pm3Al7Au4
1.0
8.1265 -2.1921 0.0000
8.1265 2.1921 0.0000
-5.8511 0.0000 7.8823
Pm Al Au
3 7 4
direct
0.0000 0.0000 0.0000 Pm
0.3127 0.3127 0.3155 Pm
0.6873 0.6873 0.6845 Pm
0.0000 0.0000 0.5000 Al
0.1510 0.1510 0.4232 Al
0.3251 0.3251 0.9660 Al
0.5003 0.5003 0.2905 Al
0.4997 0.4997 0.7095 Al
0.6749 0.6749 0.0340 Al
0.8490 0.8490 0.5768 Al
0.1285 0.1285 0.8535 Au
0.3448 0.3448 0.7199 Au
0.6552 0.6552 0.2801 Au
0.8715 0.8715 0.1465 Au
```

=====

Material: Sc2CoAu
Method: DFT, PBE
State: optimized geometry

Results
DFT total energy (eV per formula unit): -22.93
ΔE_f (meV per atom): 30
SG: R-3m (166)

Cell and atoms, written as POSCAR:
```
Sc2CoAu
1.0
3.1923 0.0000 0.0000
-1.5962 2.7646 0.0000
0.0000 0.0000 26.9110
Sc Co Au
6 3 3
direct
0.0000 0.0000 0.1035 Sc
0.0000 0.0000 0.8965 Sc
0.3333 0.6667 0.5632 Sc
0.3333 0.6667 0.7702 Sc
0.6667 0.3333 0.2298 Sc
0.6667 0.3333 0.4368 Sc
0.0000 0.0000 0.5000 Co
0.3333 0.6667 0.1667 Co
0.6667 0.3333 0.8333 Co
0.0000 0.0000 0.0000 Au
0.3333 0.6667 0.6667 Au
0.6667 0.3333 0.3333 Au
```

=====

Question: Which of these has the lowest DFT total energy?
Answer: Pm3Al7Au4

=====

Question: DFT total energy of number 2 (Sc2CoAu)?
Answer: -22.93 eV per formula unit